KCu2S3: relaxed, GGA-PBE.

Lattice parameters (Å, degrees): 5.305 6.943 7.822 116.35 90.00 90.00
Element x y z (fractional)
K1 0.750 0.272 0.544
K2 0.250 0.728 0.456
Cu1 0.500 0.191 0.000
Cu2 0.500 0.809 0.000
Cu3 0.000 0.809 0.000
Cu4 0.000 0.191 0.000
S1 0.250 0.542 0.781
S2 0.750 0.458 0.219
S3 0.750 0.761 0.219
S4 0.250 0.239 0.781
S5 0.250 0.102 0.204
S6 0.750 0.898 0.796

Values from the calculation:
space group	No. 63
ΔE_f (raw)	-0.456	eV/atom

AcPm2Pr6Sm: relaxed, GGA-PBE.

Lattice parameters (Å, degrees): 9.991 9.181 9.181 118.18 93.45 93.45
Element x y z (fractional)
Ac1 0.250 0.976 0.024
Ac2 0.750 0.024 0.976
Pm1 0.455 0.804 0.693
Pm2 0.045 0.307 0.196
Pm3 0.545 0.196 0.307
Pm4 0.955 0.693 0.804
Pr1 0.054 0.122 0.748
Pr2 0.446 0.252 0.878
Pr3 0.946 0.878 0.252
Pr4 0.554 0.748 0.122
Pr5 0.315 0.983 0.439
Pr6 0.185 0.561 0.017
Pr7 0.685 0.017 0.561
Pr8 0.815 0.439 0.983
Pr9 0.118 0.706 0.498
Pr10 0.382 0.502 0.294
Pr11 0.882 0.294 0.502
Pr12 0.618 0.498 0.706
Sm1 0.250 0.409 0.591
Sm2 0.750 0.591 0.409

Values from the calculation:
space group	No. 15
ΔH_f (0 K)	0.11	eV/atom

CsSc5Se8: relaxed, GGA-PBE.

Lattice parameters (Å, degrees): 3.909 9.770 10.222 104.14 101.02 90.00
Element x y z (fractional)
Cs1 0.500 0.500 0.000
Sc1 0.295 0.657 0.589
Sc2 0.705 0.343 0.411
Sc3 0.343 0.027 0.686
Sc4 0.657 0.973 0.314
Sc5 0.000 0.000 0.000
Se1 0.236 0.157 0.473
Se2 0.764 0.843 0.527
Se3 0.168 0.491 0.335
Se4 0.832 0.509 0.665
Se5 0.086 0.823 0.171
Se6 0.914 0.177 0.829
Se7 0.423 0.843 0.847
Se8 0.577 0.157 0.153

Values from the calculation:
space group	No. 12
ΔE_f (raw)	-1.711	eV/atom

ScMn2B: relaxed, GGA-PBE.

Lattice parameters (Å, degrees): 3.914 3.914 7.974 75.79 75.79 90.00
Element x y z (fractional)
Sc1 0.000 0.000 0.000
Sc2 0.750 0.250 0.500
B1 0.500 0.500 0.000
B2 0.250 0.750 0.500
Mn1 0.437 0.125 0.250
Mn2 0.313 0.625 0.250
Mn3 0.375 0.563 0.750
Mn4 0.875 0.687 0.750

Values from the calculation:
space group	No. 122
ΔH_f (0 K)	0.36	eV/atom

MgVAg2Mo: relaxed, GGA-PBE.

Lattice parameters (Å, degrees): 5.198 4.293 5.198 90.00 90.00 90.00
Element x y z (fractional)
Mo1 0.000 0.000 0.000
Mg1 0.500 0.500 0.500
Ag1 0.000 0.000 0.500
Ag2 0.500 0.000 0.000
V1 0.000 0.500 0.000

Values from the calculation:
space group	No. 123
ΔH_f (0 K)	1.10	eV/atom

PrPd9Pb2: relaxed, GGA-PBE.

Lattice parameters (Å, degrees): 4.161 4.161 12.366 90.00 90.00 90.00
Element x y z (fractional)
Pr1 0.000 0.000 0.000
Pd1 0.500 0.500 0.000
Pd2 0.500 0.500 0.338
Pd3 0.500 0.500 0.662
Pd4 0.500 0.000 0.174
Pd5 0.500 0.000 0.500
Pd6 0.500 0.000 0.826
Pd7 0.000 0.500 0.174
Pd8 0.000 0.500 0.500
Pd9 0.000 0.500 0.826
Pb1 0.000 0.000 0.336
Pb2 0.000 0.000 0.664

Values from the calculation:
space group	No. 123
ΔH_f (0 K)	-0.43	eV/atom

SbS2O6: relaxed, GGA-PBE.

Lattice parameters (Å, degrees): 5.698 5.698 6.670 64.72 64.72 60.00
Element x y z (fractional)
Sb1 0.333 0.333 0.002
S1 0.725 0.725 0.824
S2 0.596 0.596 0.212
O1 0.716 0.515 0.755
O2 0.014 0.716 0.755
O3 0.515 0.014 0.755
O4 0.385 0.482 0.233
O5 0.900 0.385 0.233
O6 0.482 0.900 0.233

Values from the calculation:
space group	No. 146
ΔE_f (raw)	-0.896	eV/atom

Al2SbTe: relaxed, GGA-PBE.

Lattice parameters (Å, degrees): 3.657 3.656 6.902 90.00 90.00 90.00
Element x y z (fractional)
Sb1 0.500 0.500 0.250
Te1 0.500 0.500 0.750
Al1 0.000 0.000 0.996
Al2 0.000 0.000 0.504

Values from the calculation:
space group	No. 123
energy relative to the lowest polymorph listed for this composition	296	meV/atom
ΔE_f (raw)	0.187	eV/atom

Pm2Zn3GaAu4: relaxed, GGA-PBE.

Lattice parameters (Å, degrees): 4.303 4.303 11.073 90.00 90.00 90.00
Element x y z (fractional)
Pm1 0.500 0.000 0.257
Pm2 0.000 0.500 0.743
Zn1 0.000 0.000 0.500
Zn2 0.500 0.000 0.864
Zn3 0.000 0.500 0.136
Ga1 0.500 0.500 0.500
Au1 0.500 0.500 0.000
Au2 0.000 0.000 0.000
Au3 0.500 0.000 0.636
Au4 0.000 0.500 0.364

Values from the calculation:
space group	No. 115
ΔH_f (0 K)	-0.54	eV/atom

Sr2AlGa4Hg3: relaxed, GGA-PBE.

Lattice parameters (Å, degrees): 4.569 4.569 11.475 90.00 90.00 90.00
Element x y z (fractional)
Sr1 0.500 0.000 0.256
Sr2 0.000 0.500 0.744
Al1 0.500 0.500 0.500
Ga1 0.500 0.500 0.000
Ga2 0.000 0.000 0.000
Ga3 0.500 0.000 0.631
Ga4 0.000 0.500 0.369
Hg1 0.000 0.000 0.500
Hg2 0.500 0.000 0.861
Hg3 0.000 0.500 0.139

Values from the calculation:
space group	No. 115
ΔH_f (0 K)	-0.33	eV/atom

CrSiSeN2: relaxed, GGA-PBE.

Lattice parameters (Å, degrees): 3.684 3.684 5.164 90.00 90.00 90.00
Element x y z (fractional)
Cr1 0.000 0.000 0.000
Si1 0.500 0.500 0.500
Se1 0.000 0.000 0.500
N1 0.000 0.500 0.000
N2 0.500 0.000 0.000

Values from the calculation:
space group	No. 123
energy relative to the lowest polymorph listed for this composition	157	meV/atom
ΔE_f (raw)	0.600	eV/atom

PrThSi2: relaxed, GGA-PBE.

Lattice parameters (Å, degrees): 3.992 5.947 8.218 90.00 90.00 90.00
Element x y z (fractional)
Pr1 0.000 0.132 0.680
Pr2 0.000 0.868 0.180
Th1 0.500 0.370 0.319
Th2 0.500 0.630 0.819
Si1 0.000 0.626 0.537
Si2 0.000 0.374 0.037
Si3 0.500 0.870 0.464
Si4 0.500 0.130 0.964

Values from the calculation:
space group	No. 26
energy relative to the lowest polymorph listed for this composition	0	meV/atom
ΔE_f (raw)	-0.705	eV/atom

Calculated values (eV per formula unit) of raw total energy for the records, taken in order: -24.4; -45.9; -84.3; -29.9; -21.8; -64.1; -50.2; -14.0; -34.9; -23.4; -32.2; -25.9.
Calculated values (Å³ per atom) of volume for the records, taken in order: 21.52; 36.86; 26.51; 14.32; 23.19; 17.84; 18.13; 23.07; 20.50; 23.95; 14.02; 24.38.